Density functional theory data (PBE) for LaRePt2 after structural relaxation.

Cell lengths 2.906, 2.906, 8.664 Å; angles 90.00, 90.00, 90.00 degrees
Element x y z (fractional)
Pt 0.000 0.000 0.460
La 0.500 0.500 0.750
Re 0.500 0.500 0.250
Pt 0.000 0.000 0.040

Calculated values
Calculated total energy   -30.174 eV/f.u.

Density functional theory data (PBE) for LaRePt2 after structural relaxation.

Cell lengths 10.158, 10.158, 10.158 Å; angles 16.42, 16.42, 16.42 degrees
Element x y z (fractional)
Pt 0.992 0.992 0.992
Pt 0.248 0.248 0.248
Re 0.511 0.511 0.511
La 0.749 0.749 0.749

Calculated values
Calculated total energy   -28.429 eV/f.u.

Density functional theory data (PBE) for LaRePt2 after structural relaxation.

Cell lengths 4.624, 4.624, 6.392 Å; angles 82.00, 82.00, 36.31 degrees
Element x y z (fractional)
La 0.250 0.250 0.250
Pt 0.494 0.494 0.567
Pt 0.006 0.006 0.933
Re 0.750 0.750 0.750

Calculated values
Calculated total energy   -29.692 eV/f.u.

Density functional theory data (PBE) for LaRePt after structural relaxation.

Cell lengths 5.971, 5.971, 5.971 Å; angles 152.16, 140.23, 49.24 degrees
Element x y z (fractional)
Pt 0.291 0.291 0.000
La 0.001 0.001 0.000
Re 0.708 0.708 0.000

Calculated values
Calculated total energy   -23.360 eV/f.u.

Density functional theory data (PBE) for LaRePt2 after structural relaxation.

Cell lengths 3.862, 2.852, 7.513 Å; angles 67.58, 90.00, 90.00 degrees
Element x y z (fractional)
La 0.500 0.750 0.750
Pt 0.000 0.947 0.055
Pt 0.000 0.553 0.445
Re 0.500 0.250 0.250

Calculated values
Calculated total energy   -30.377 eV/f.u.

Density functional theory data (PBE) for LaRePt2 after structural relaxation.

Cell lengths 3.354, 3.354, 7.013 Å; angles 90.00, 90.00, 90.00 degrees
Element x y z (fractional)
Re 0.000 0.000 0.432
Pt 0.500 0.500 0.266
Pt 0.000 0.000 0.043
La 0.500 0.500 0.759

Calculated values
Calculated total energy   -29.521 eV/f.u.

Density functional theory data (PBE) for LaZrRePt2 after structural relaxation.

Cell lengths 4.903, 5.566, 4.903 Å; angles 90.00, 90.00, 90.00 degrees
Element x y z (fractional)
Pt 0.500 0.000 0.000
Re 0.500 0.500 0.500
La 0.000 0.500 0.000
Zr 0.000 0.000 0.000
Pt 0.000 0.000 0.500

Calculated values
Calculated total energy   -31.133 eV/f.u.

Density functional theory data (PBE) for La3PtRh after structural relaxation.

Cell lengths 5.428, 5.428, 5.428 Å; angles 90.00, 90.00, 90.00 degrees
Element x y z (fractional)
Rh 0.000 0.000 0.000
La 0.500 0.000 0.000
La 0.000 0.500 0.000
La 0.000 0.000 0.500
Pt 0.500 0.500 0.500

Calculated values
Calculated total energy   -29.565 eV/f.u.

- What is the calculated total energy in the eighth record?
  -29.565 eV/f.u.